(1)
Density functional theory data (PBE) for crystalline ErPaSiPd at its relaxed geometry.

As for the space group: No. 216. As for the total magnetization: 1.7 μB/cell. For the raw total energy, the calculation gives -6.573 eV/atom.

a = 4.9631 Å, b = 4.9631 Å, c = 4.9631 Å
α = 60.00°, β = 60.00°, γ = 60.00°
Closest atoms and distances in Å follow each position.
Positions (direct):
Er  0.0000  0.0000  0.0000  4 Pd 3.04, 4 Si 3.04
Pa  0.5000  0.5000  0.5000  4 Pd 3.04, 4 Si 3.04
Si  0.7500  0.7500  0.7500  4 Pa 3.04, 4 Er 3.04
Pd  0.2500  0.2500  0.2500  4 Pa 3.04, 4 Er 3.04

(2)
Density functional theory data (PBE) for crystalline ErPaTcPd at its relaxed geometry.

As for the space group: No. 216. Its formation energy is -372 meV/atom. As for the total magnetization: 0.0 μB/cell.

a = 4.8860 Å, b = 4.8860 Å, c = 4.8860 Å
α = 60.00°, β = 60.00°, γ = 60.00°
Closest atoms and distances in Å follow each position.
Positions (direct):
Pd  0.0000  0.0000  0.0000  4 Er 2.99, 4 Pa 2.99
Er  0.7500  0.7500  0.7500  4 Tc 2.99, 4 Pd 2.99
Tc  0.5000  0.5000  0.5000  4 Pa 2.99, 4 Er 2.99
Pa  0.2500  0.2500  0.2500  4 Pd 2.99, 4 Tc 2.99

(3)
Density functional theory data (PBE) for crystalline ErPaZnPd at its relaxed geometry.

As for the space group: No. 216. Its formation energy is -273 meV/atom. As for the total magnetization: 0.4 μB/cell.

a = 4.9805 Å, b = 4.9805 Å, c = 4.9805 Å
α = 60.00°, β = 60.00°, γ = 60.00°
Closest atoms and distances in Å follow each position.
Positions (direct):
Er  0.7500  0.7500  0.7500  4 Zn 3.05, 4 Pd 3.05
Zn  0.5000  0.5000  0.5000  4 Pa 3.05, 4 Er 3.05
Pa  0.2500  0.2500  0.2500  4 Pd 3.05, 4 Zn 3.05
Pd  0.0000  0.0000  0.0000  4 Er 3.05, 4 Pa 3.05

(4)
Density functional theory data (PBE) for crystalline Pm2ErPa at its relaxed geometry.

As for the space group: No. 123. Its formation energy is 246 meV/atom. As for the total magnetization: 0.0 μB/cell. The energy relative to the lowest polymorph listed for this composition comes out at 83 meV/atom.

a = 4.9199 Å, b = 4.9858 Å, c = 4.9858 Å
α = 90.00°, β = 90.00°, γ = 90.00°
Closest atoms and distances in Å follow each position.
Positions (direct):
Er  0.5000  0.0000  0.0000  8 Pm 3.50, 4 Pa 3.53
Pa  0.5000  0.5000  0.5000  8 Pm 3.50, 4 Er 3.53
Pm  0.0000  0.0000  0.5000  4 Pa 3.50, 4 Er 3.50, 4 Pm 3.53
Pm  0.0000  0.5000  0.0000  4 Pa 3.50, 4 Er 3.50, 4 Pm 3.53

(5)
Density functional theory data (PBE) for crystalline Pm2ErPa at its relaxed geometry.

As for the space group: No. 225. Its formation energy is 392 meV/atom. As for the total magnetization: 3.7 μB/cell. The energy relative to the lowest polymorph listed for this composition comes out at 229 meV/atom.

a = 5.6290 Å, b = 5.6290 Å, c = 5.6290 Å
α = 60.00°, β = 60.00°, γ = 60.00°
Closest atoms and distances in Å follow each position.
Positions (direct):
Pa  0.0000  0.0000  0.0000  8 Pm 3.45
Er  0.5000  0.5000  0.5000  8 Pm 3.45
Pm  0.2500  0.2500  0.2500  4 Er 3.45, 4 Pa 3.45
Pm  0.7500  0.7500  0.7500  4 Pa 3.45, 4 Er 3.45

(6)
Density functional theory data (PBE) for crystalline Pm2ErPa at its relaxed geometry.

As for the space group: No. 166. Its formation energy is 299 meV/atom. As for the total magnetization: 0.0 μB/cell. The energy relative to the lowest polymorph listed for this composition comes out at 136 meV/atom.

a = 3.3651 Å, b = 3.3651 Å, c = 12.5225 Å
α = 82.28°, β = 82.28°, γ = 60.00°
Closest atoms and distances in Å follow each position.
Positions (direct):
Er  0.5000  0.5000  0.5000  6 Er 3.37, 6 Pm 3.54
Pm  0.0869  0.0869  0.7394  1 Pa 3.22, 6 Pm 3.37, 3 Er 3.54
Pm  0.9131  0.9131  0.2606  1 Pa 3.22, 6 Pm 3.37, 3 Er 3.54
Pa  0.0000  0.0000  0.0000  2 Pm 3.22, 6 Pa 3.37

(7)
Density functional theory data (PBE) for crystalline Pm2ErPa at its relaxed geometry.

As for the space group: No. 123. Its formation energy is 163 meV/atom. As for the total magnetization: 0.0 μB/cell. The energy relative to the lowest polymorph listed for this composition comes out at 0 meV/atom.

a = 3.4371 Å, b = 3.4371 Å, c = 10.3637 Å
α = 90.00°, β = 90.00°, γ = 90.00°
Closest atoms and distances in Å follow each position.
Positions (direct):
Pm  0.0000  0.0000  0.7660  4 Pa 3.43, 4 Pm 3.44, 4 Er 3.67
Pm  0.0000  0.0000  0.2340  4 Pa 3.43, 4 Pm 3.44, 4 Er 3.67
Er  0.5000  0.5000  0.5000  4 Er 3.44, 8 Pm 3.67
Pa  0.5000  0.5000  0.0000  8 Pm 3.43, 4 Pa 3.44

(8)
Density functional theory data (PBE) for crystalline PmEr2PaS4 at its relaxed geometry.

As for the space group: No. 10. As for the total magnetization: 0.0 μB/cell. For the raw total energy, the calculation gives -6.853 eV/atom.

a = 3.8661 Å, b = 6.8515 Å, c = 6.7465 Å
α = 71.18°, β = 90.00°, γ = 90.00°
Closest atoms and distances in Å follow each position.
Positions (direct):
Pm  0.5000  0.5000  0.0000  6 S 2.82
Er  0.5000  0.0000  0.5000  6 S 2.71
Er  0.0000  0.0000  0.0000  6 S 2.74
S  0.5000  0.7596  0.2503  3 Er 2.71-2.74, 2 Pa 2.79, 1 Pm 2.82
S  0.0000  0.7620  0.7415  3 Er 2.71-2.74, 1 Pa 2.79, 2 Pm 2.82
S  0.5000  0.2404  0.7497  3 Er 2.71-2.74, 2 Pa 2.79, 1 Pm 2.82
S  0.0000  0.2380  0.2585  3 Er 2.71-2.74, 1 Pa 2.79, 2 Pm 2.82
Pa  0.0000  0.5000  0.5000  6 S 2.79

(9)
Density functional theory data (PBE) for crystalline Pm2ErPaS4 at its relaxed geometry.

As for the space group: No. 10. As for the total magnetization: 0.0 μB/cell. For the raw total energy, the calculation gives -6.898 eV/atom.

a = 3.9262 Å, b = 6.8700 Å, c = 6.8552 Å
α = 109.01°, β = 90.00°, γ = 90.00°
Closest atoms and distances in Å follow each position.
Positions (direct):
Pm  0.5000  0.0000  0.5000  6 S 2.83
Pm  0.0000  0.5000  0.5000  6 S 2.85-2.86
S  0.5000  0.2433  0.2361  2 Er 2.74, 1 Pa 2.75, 3 Pm 2.83-2.86
S  0.0000  0.7496  0.2394  1 Er 2.74, 2 Pa 2.77, 3 Pm 2.83-2.85
S  0.0000  0.2504  0.7606  1 Er 2.74, 2 Pa 2.77, 3 Pm 2.83-2.85
S  0.5000  0.7567  0.7639  2 Er 2.74, 1 Pa 2.75, 3 Pm 2.83-2.86
Er  0.0000  0.0000  0.0000  6 S 2.74
Pa  0.5000  0.5000  0.0000  6 S 2.75-2.77

(10)
Density functional theory data (PBE) for crystalline Pm2ErPaSb5 at its relaxed geometry.

As for the space group: No. 123. As for the total magnetization: 0.0 μB/cell. For the raw total energy, the calculation gives -5.069 eV/atom.

a = 5.4810 Å, b = 5.4810 Å, c = 11.5629 Å
α = 90.00°, β = 90.00°, γ = 90.00°
Closest atoms and distances in Å follow each position.
Positions (direct):
Sb  0.5000  0.0000  0.5000  2 Pa 2.74
Sb  0.0000  0.5000  0.5000  2 Pa 2.74
Sb  0.5000  0.5000  0.0000  2 Pm 3.20
Sb  0.0000  0.0000  0.7545  1 Er 2.84, 1 Pa 2.94
Sb  0.0000  0.0000  0.2455  1 Er 2.84, 1 Pa 2.94
Pm  0.5000  0.5000  0.2765  1 Sb 3.20
Pm  0.5000  0.5000  0.7235  1 Sb 3.20
Pa  0.0000  0.0000  0.5000  6 Sb 2.74-2.94
Er  0.0000  0.0000  0.0000  2 Sb 2.84

(11)
Density functional theory data (PBE) for crystalline PmErPaSn at its relaxed geometry.

As for the space group: No. 216. Its formation energy is 26 meV/atom. As for the total magnetization: 1.3 μB/cell.

a = 5.3634 Å, b = 5.3634 Å, c = 5.3634 Å
α = 60.00°, β = 60.00°, γ = 60.00°
Closest atoms and distances in Å follow each position.
Positions (direct):
Sn  0.2500  0.2500  0.2500  4 Er 3.28, 4 Pm 3.28
Er  0.5000  0.5000  0.5000  4 Pa 3.28, 4 Sn 3.28
Pm  0.0000  0.0000  0.0000  4 Sn 3.28, 4 Pa 3.28
Pa  0.7500  0.7500  0.7500  4 Pm 3.28, 4 Er 3.28

(12)
Density functional theory data (PBE) for crystalline PrEr2Pa at its relaxed geometry.

As for the space group: No. 166. Its formation energy is 310 meV/atom. As for the total magnetization: 0.0 μB/cell. The energy relative to the lowest polymorph listed for this composition comes out at 185 meV/atom.

a = 3.3421 Å, b = 3.3421 Å, c = 12.4886 Å
α = 82.31°, β = 82.31°, γ = 60.00°
Closest atoms and distances in Å follow each position.
Positions (direct):
Pr  0.5000  0.5000  0.5000  6 Pr 3.34, 6 Er 3.55
Er  0.0862  0.0862  0.7413  1 Pa 3.19, 6 Er 3.34, 3 Pr 3.55
Er  0.9138  0.9138  0.2587  1 Pa 3.19, 6 Er 3.34, 3 Pr 3.55
Pa  0.0000  0.0000  0.0000  2 Er 3.19, 6 Pa 3.34

(13)
Density functional theory data (PBE) for crystalline Pr2ErPa at its relaxed geometry.

As for the space group: No. 166. Its formation energy is 320 meV/atom. As for the total magnetization: 0.0 μB/cell. The energy relative to the lowest polymorph listed for this composition comes out at 132 meV/atom.

a = 3.3915 Å, b = 3.3915 Å, c = 12.6614 Å
α = 82.30°, β = 82.30°, γ = 60.00°
Closest atoms and distances in Å follow each position.
Positions (direct):
Er  0.5000  0.5000  0.5000  6 Er 3.39, 6 Pr 3.59
Pr  0.9136  0.9136  0.2592  1 Pa 3.24, 6 Pr 3.39, 3 Er 3.59
Pr  0.0864  0.0864  0.7408  1 Pa 3.24, 6 Pr 3.39, 3 Er 3.59
Pa  0.0000  0.0000  0.0000  2 Pr 3.24, 6 Pa 3.39

(14)
Density functional theory data (PBE) for crystalline PrErPa4 at its relaxed geometry.

As for the space group: No. 216. Its formation energy is 243 meV/atom. As for the total magnetization: 0.0 μB/cell.

a = 6.1729 Å, b = 6.1729 Å, c = 6.1729 Å
α = 60.00°, β = 60.00°, γ = 60.00°
Closest atoms and distances in Å follow each position.
Positions (direct):
Er  0.0000  0.0000  0.0000  12 Pa 3.62, 4 Pr 3.78
Pa  0.6253  0.6253  0.1242  6 Pa 3.08-3.09
Pa  0.1242  0.6253  0.6253  6 Pa 3.08-3.09
Pa  0.6253  0.1242  0.6253  6 Pa 3.08-3.09
Pa  0.6253  0.6253  0.6253  6 Pa 3.08-3.09
Pr  0.2500  0.2500  0.2500  12 Pa 3.62, 4 Er 3.78

(15)
Density functional theory data (PBE) for crystalline Pr2ErPa at its relaxed geometry.

As for the space group: No. 123. Its formation energy is 187 meV/atom. As for the total magnetization: 0.0 μB/cell. The energy relative to the lowest polymorph listed for this composition comes out at 0 meV/atom.

a = 3.4598 Å, b = 3.4598 Å, c = 10.4928 Å
α = 90.00°, β = 90.00°, γ = 90.00°
Closest atoms and distances in Å follow each position.
Positions (direct):
Pr  0.0000  0.0000  0.2344  4 Pr 3.46, 4 Pa 3.47, 4 Er 3.71
Pr  0.0000  0.0000  0.7656  4 Pr 3.46, 4 Pa 3.47, 4 Er 3.71
Pa  0.5000  0.5000  0.0000  4 Pa 3.46, 8 Pr 3.47
Er  0.5000  0.5000  0.5000  4 Er 3.46, 8 Pr 3.71

(16)
Density functional theory data (PBE) for crystalline PrEr2Pa at its relaxed geometry.

As for the space group: No. 123. Its formation energy is 125 meV/atom. As for the total magnetization: 0.1 μB/cell. The energy relative to the lowest polymorph listed for this composition comes out at 0 meV/atom.

a = 3.4382 Å, b = 3.4382 Å, c = 10.1730 Å
α = 90.00°, β = 90.00°, γ = 90.00°
Closest atoms and distances in Å follow each position.
Positions (direct):
Pr  0.5000  0.5000  0.5000  4 Pr 3.44, 8 Er 3.69
Er  0.0000  0.0000  0.2277  4 Pa 3.36, 4 Er 3.44, 4 Pr 3.69
Er  0.0000  0.0000  0.7723  4 Pa 3.36, 4 Er 3.44, 4 Pr 3.69
Pa  0.5000  0.5000  0.0000  8 Er 3.36, 4 Pa 3.44

(17)
Density functional theory data (PBE) for crystalline Pr2ErPa2Rh5 at its relaxed geometry.

As for the space group: No. 127. Its formation energy is -648 meV/atom. As for the total magnetization: 0.0 μB/cell.

a = 3.5915 Å, b = 11.0209 Å, c = 11.0209 Å
α = 90.00°, β = 90.00°, γ = 90.00°
Closest atoms and distances in Å follow each position.
Positions (direct):
Rh  0.5000  0.4438  0.3002  2 Pa 2.69, 2 Er 2.91
Rh  0.5000  0.6998  0.4438  2 Pa 2.69, 2 Er 2.91
Rh  0.5000  0.5000  0.0000  4 Pa 2.79
Rh  0.5000  0.3002  0.5562  2 Pa 2.69, 2 Er 2.91
Rh  0.5000  0.0562  0.8002  2 Pa 2.69, 2 Er 2.91
Rh  0.5000  0.9438  0.1998  2 Pa 2.69, 2 Er 2.91
Rh  0.5000  0.8002  0.9438  2 Pa 2.69, 2 Er 2.91
Rh  0.5000  0.5562  0.6998  2 Pa 2.69, 2 Er 2.91
Rh  0.5000  0.1998  0.0562  2 Pa 2.69, 2 Er 2.91
Rh  0.5000  0.0000  0.5000  4 Pa 2.79
Pr  0.0000  0.6708  0.1708  1 Pa 2.99, 2 Rh 3.21
Pr  0.0000  0.3292  0.8292  1 Pa 2.99, 2 Rh 3.21
Pr  0.0000  0.8292  0.6708  1 Pa 2.99, 2 Rh 3.21
Pr  0.0000  0.1708  0.3292  1 Pa 2.99, 2 Rh 3.21
Pa  0.0000  0.3626  0.1374  6 Rh 2.69-2.79, 1 Pr 2.99
Pa  0.0000  0.1374  0.6374  6 Rh 2.69-2.79, 1 Pr 2.99
Pa  0.0000  0.8626  0.3626  6 Rh 2.69-2.79, 1 Pr 2.99
Pa  0.0000  0.6374  0.8626  6 Rh 2.69-2.79, 1 Pr 2.99
Er  0.0000  0.0000  0.0000  8 Rh 2.91
Er  0.0000  0.5000  0.5000  8 Rh 2.91

(18)
Density functional theory data (PBE) for crystalline Pr2ErPaSb4 at its relaxed geometry.

As for the space group: No. 10. As for the total magnetization: 0.7 μB/cell. For the raw total energy, the calculation gives -5.994 eV/atom.

a = 4.4534 Å, b = 7.6916 Å, c = 7.7465 Å
α = 109.36°, β = 90.00°, γ = 90.00°
Closest atoms and distances in Å follow each position.
Positions (direct):
Pr  0.5000  0.0000  0.5000  6 Sb 3.21
Pr  0.0000  0.5000  0.5000  6 Sb 3.21-3.22
Sb  0.0000  0.7460  0.2357  1 Pa 3.08, 2 Er 3.10, 3 Pr 3.21-3.22
Sb  0.5000  0.7538  0.7630  1 Er 3.09, 2 Pa 3.10, 3 Pr 3.21
Sb  0.5000  0.2462  0.2370  1 Er 3.09, 2 Pa 3.10, 3 Pr 3.21
Sb  0.0000  0.2540  0.7643  1 Pa 3.08, 2 Er 3.10, 3 Pr 3.21-3.22
Pa  0.0000  0.0000  0.0000  6 Sb 3.08-3.10
Er  0.5000  0.5000  0.0000  6 Sb 3.09-3.10

(19)
Density functional theory data (PBE) for crystalline PrErPa2Sb4 at its relaxed geometry.

As for the space group: No. 10. As for the total magnetization: 1.9 μB/cell. For the raw total energy, the calculation gives -6.372 eV/atom.

a = 4.4016 Å, b = 7.6258 Å, c = 7.6814 Å
α = 109.33°, β = 90.00°, γ = 90.00°
Closest atoms and distances in Å follow each position.
Positions (direct):
Sb  0.0000  0.2558  0.7488  3 Pa 3.08-3.14, 2 Er 3.11, 1 Pr 3.17
Sb  0.5000  0.7418  0.7440  3 Pa 3.08-3.14, 1 Er 3.11, 2 Pr 3.17
Sb  0.5000  0.2582  0.2560  3 Pa 3.08-3.14, 1 Er 3.11, 2 Pr 3.17
Sb  0.0000  0.7442  0.2512  3 Pa 3.08-3.14, 2 Er 3.11, 1 Pr 3.17
Pa  0.0000  0.5000  0.5000  6 Sb 3.08
Pa  0.5000  0.0000  0.5000  6 Sb 3.14
Pr  0.0000  0.0000  0.0000  6 Sb 3.17
Er  0.5000  0.5000  0.0000  6 Sb 3.11

(20)
Density functional theory data (PBE) for crystalline ErPaPt at its relaxed geometry.

As for the space group: No. 216. Its formation energy is -413 meV/atom. As for the total magnetization: 1.1 μB/cell. The energy relative to the lowest polymorph listed for this composition comes out at 177 meV/atom.

a = 4.8377 Å, b = 4.8377 Å, c = 4.8377 Å
α = 60.00°, β = 60.00°, γ = 60.00°
Closest atoms and distances in Å follow each position.
Positions (direct):
Pa  0.5000  0.5000  0.5000  4 Pt 2.96
Pt  0.2500  0.2500  0.2500  4 Er 2.96, 4 Pa 2.96
Er  0.0000  0.0000  0.0000  4 Pt 2.96